A relaxed NbTeNO crystal. Source: OQMD, functional PBE.

Computed properties:
Space-group type: No. 29

The structure in extended XYZ format:
```
16
Lattice="6.7207 0.0000 0.0000 0.0000 7.6080 0.0000 0.0000 0.0000 5.9161" Properties=species:S:1:pos:R:3 pbc="T T T"
N 2.4978 0.4064 0.9622
N 5.8582 7.2015 0.9622
N 0.8625 0.4064 3.9202
N 4.2229 7.2015 3.9202
Nb 0.7534 0.4149 0.0241
Nb 4.1138 7.1930 0.0241
Nb 2.6069 0.4149 2.9822
Nb 5.9673 7.1930 2.9822
O 0.0604 2.2113 0.2611
O 3.4208 5.3967 0.2611
O 3.2999 2.2113 3.2191
O 6.6603 5.3967 3.2191
Te 5.3080 2.5406 2.9080
Te 1.9477 5.0674 2.9080
Te 4.7731 2.5406 5.8661
Te 1.4127 5.0674 5.8661
```



A relaxed ReAgAu crystal. Source: OQMD, functional PBE.

Computed properties:
Space-group type: No. 216
E_form: 1.286 eV/atom

The structure in extended XYZ format:
```
3
Lattice="0.0000 3.0794 3.0794 3.0794 0.0000 3.0794 3.0794 3.0794 0.0000" Properties=species:S:1:pos:R:3 pbc="T T T"
Ag 1.5397 1.5397 1.5397
Au 0.0000 0.0000 0.0000
Re 4.6191 4.6191 4.6191
```



A relaxed PmOsPd crystal. Source: OQMD, functional PBE.

Computed properties:
Space-group type: No. 216
E_form: 0.879 eV/atom

The structure in extended XYZ format:
```
3
Lattice="-0.8412 -4.5016 -0.3351 -4.0794 -1.6749 1.2797 -2.9383 -1.5571 -3.1664" Properties=species:S:1:pos:R:3 pbc="T T T"
Os -1.9647 -1.9334 -0.5555
Pd -5.8941 -5.8002 -1.6664
Pm 0.0000 0.0000 0.0000
```



A relaxed HoBAsO crystal. Source: OQMD, functional PBE.

Computed properties:
Space-group type: No. 26

The structure in extended XYZ format:
```
8
Lattice="3.9058 0.0000 0.0000 0.0000 5.3425 0.0000 0.0000 0.0000 6.0268" Properties=species:S:1:pos:R:3 pbc="T T T"
As 0.0000 1.9386 1.6338
As 0.0000 3.4039 4.6472
B 0.0000 3.7731 2.6256
B 0.0000 1.5694 5.6390
Ho 1.9529 4.1647 0.6222
Ho 1.9529 1.1778 3.6356
O 1.9529 4.5834 2.6760
O 1.9529 0.7591 5.6894
```



A relaxed Be17Os3 crystal. Source: OQMD, functional PBE.

Computed properties:
Space-group type: No. 204

The structure in extended XYZ format:
```
80
Lattice="9.5252 -2.0992 1.0786 -1.1997 9.7373 -0.2154 -5.0497 -3.7522 7.5314" Properties=species:S:1:pos:R:3 pbc="T T T"
Be 3.1110 -0.6856 0.3523
Be 6.4142 -1.4135 0.7263
Be -0.3918 3.1803 -0.0704
Be 3.3581 3.0808 0.3482
Be 4.9674 4.5573 0.5150
Be -0.8079 6.5570 -0.1451
Be 5.4288 2.3733 1.0142
Be 1.0640 4.4793 0.7834
Be 3.7162 6.9125 1.0584
Be 1.3625 2.3417 0.8831
Be 5.7987 6.4115 1.3431
Be 5.5402 0.2453 1.7363
Be 7.4468 1.9946 1.9340
Be 7.6486 -0.1561 1.9854
Be 2.9272 5.0024 1.8781
Be 3.9193 -1.1388 2.2699
Be -0.6380 5.5181 1.7064
Be 1.8210 -0.6552 2.0915
Be -0.9299 7.6590 1.7153
Be 4.2312 3.5202 2.4162
Be 5.5157 2.0503 3.0343
Be 2.0890 3.1393 2.7552
Be 4.7412 5.5725 3.0302
Be -1.6493 -1.2255 2.4598
Be 1.0699 1.2692 2.7417
Be -1.0428 0.8529 2.5109
Be 1.1720 5.1875 2.9162
Be 2.7674 6.6512 3.0816
Be 1.8052 -2.3601 3.4728
Be -2.5207 2.4141 2.9509
Be 4.7305 0.3153 3.7829
Be -2.3124 4.6919 2.9617
Be 2.4881 0.2318 3.9454
Be -2.0692 6.8888 3.3818
Be 3.5493 2.1520 4.0669
Be 5.4560 3.9012 4.2646
Be 3.8838 -1.4155 4.4757
Be -0.6080 5.3014 3.9189
Be -2.1802 -0.0152 4.1300
Be -0.2735 1.7340 4.3277
Be 5.3450 -3.0028 5.0127
Be 0.7877 3.6541 4.4492
Be 5.5882 -0.8060 5.4329
Be -1.4547 3.5706 4.6116
Be 2.6703 -3.4912 5.1371
Be -3.7287 3.5710 4.3651
Be 0.5084 -2.7653 5.3130
Be 2.1038 -1.3015 5.4784
Be 4.3186 3.0330 5.8836
Be -3.4004 -2.5267 5.0716
Be 2.2059 2.6168 5.6528
Be -1.4654 -1.6866 5.3644
Be 1.1868 0.7467 5.6394
Be -2.2398 1.8357 5.3603
Be -0.9554 0.3657 5.9784
Be 4.2057 -3.7730 6.6793
Be 1.4548 4.5412 6.3030
Be 3.9138 -1.6322 6.6882
Be -0.6435 5.0248 6.1247
Be 0.3487 -1.1164 6.5165
Be -4.3728 4.0420 6.4092
Be -4.1710 1.8914 6.4606
Be -2.2644 3.6406 6.6583
Be -2.5228 -2.5256 7.0515
Be 1.9133 1.5443 7.5114
Be -0.4404 -3.0266 7.3362
Be 2.2118 -0.5934 7.6112
Be -2.1530 1.5127 7.3804
Os 1.3230 6.8497 1.0038
Os 3.3493 1.2016 1.8780
Os 6.6583 4.2374 2.2211
Os -0.3183 3.2385 2.3663
Os 6.0779 -1.7313 3.1205
Os 0.1740 -0.6382 3.9688
Os 3.1018 4.5241 4.4258
Os 3.5941 0.6474 6.0282
Os -2.8021 5.6173 5.2740
Os -3.3825 -0.3514 6.1735
Os -0.0735 2.6843 6.5165
Os 1.9528 -2.9638 7.3908
```



A relaxed BiPd20 crystal. Source: OQMD, functional PBE.

Computed properties:
Space-group type: No. 2

The structure in extended XYZ format:
```
42
Lattice="-0.7720 -1.2720 -4.5461 6.6495 0.1244 -2.9035 3.4279 -25.3724 6.1758" Properties=species:S:1:pos:R:3 pbc="T T T"
Bi 5.9538 -10.2438 -4.5845
Bi 3.3515 -16.2761 3.3107
Pd 4.7903 -1.5688 -6.7245
Pd 1.8539 -1.0005 -2.9964
Pd 6.3269 -1.7139 -4.4457
Pd 2.6186 -2.4141 -5.2642
Pd 4.1535 -2.5616 -2.9793
Pd 0.4443 -3.2667 -3.7993
Pd 4.9162 -3.9826 -5.2453
Pd 1.9818 -3.4109 -1.5130
Pd 6.4466 -4.1201 -2.9675
Pd 2.7502 -4.8212 -3.7766
Pd 0.5750 -5.6808 -2.3177
Pd 4.2809 -4.9859 -1.5007
Pd 2.1175 -5.8180 -0.0419
Pd 5.0402 -6.4013 -3.7684
Pd 6.5931 -6.5362 -1.5028
Pd 2.8731 -7.2859 -2.2919
Pd 4.3833 -7.4424 -0.0437
Pd 0.7519 -8.1400 -0.8174
Pd 2.2685 -8.2130 1.4267
Pd 5.1497 -8.8393 -2.3165
Pd 4.1556 -17.6806 1.0426
Pd 7.0369 -18.3070 -2.7005
Pd 8.5534 -18.3799 -0.4565
Pd 4.9221 -19.0776 -1.2302
Pd 6.4323 -19.2340 1.0181
Pd 2.7122 -19.9838 0.2289
Pd 4.2652 -20.1186 2.4945
Pd 7.1878 -20.7019 -1.2319
Pd 5.0244 -21.5340 0.2268
Pd 8.7303 -20.8391 1.0439
Pd 6.5551 -21.6988 2.5028
Pd 2.8587 -22.3999 1.6936
Pd 7.3235 -23.1090 0.2391
Pd 4.3891 -22.5374 3.9715
Pd 8.8611 -23.2533 2.5254
Pd 5.1518 -23.9584 1.7055
Pd 6.6867 -24.1059 3.9904
Pd 2.9784 -24.8061 3.1718
Pd 7.4514 -25.5194 1.7226
Pd 4.5150 -24.9512 5.4506
```



A relaxed BW crystal. Source: OQMD, functional PBE.

Computed properties:
Space-group type: No. 141

The structure in extended XYZ format:
```
8
Lattice="-5.1863 -5.6041 4.3568 -7.8267 -3.7961 1.2717 7.0597 3.0833 -4.2353" Properties=species:S:1:pos:R:3 pbc="T T T"
B -4.4774 -3.2343 1.9366
B -8.5356 -6.1659 3.6919
B -1.6076 -1.2407 -0.9523
B -5.6658 -4.1722 0.8030
W -2.5619 -1.8506 1.1081
W -10.4510 -7.5495 4.5204
W 0.2454 -1.7598 0.3598
W -4.8784 -5.4611 2.5760
```



A relaxed TlPtNO crystal. Source: OQMD, functional PBE.

Computed properties:
Space-group type: No. 29

The structure in extended XYZ format:
```
16
Lattice="6.1319 0.0000 0.0000 0.0000 8.3934 0.0000 0.0000 0.0000 4.8418" Properties=species:S:1:pos:R:3 pbc="T T T"
N 2.1812 1.1076 0.6945
N 5.2471 7.2858 0.6945
N 0.8847 1.1076 3.1153
N 3.9507 7.2858 3.1153
O 5.5272 3.3275 0.1790
O 2.4613 5.0659 0.1790
O 3.6706 3.3275 2.5999
O 0.6047 5.0659 2.5999
Pt 0.4011 0.3156 0.0460
Pt 3.4670 8.0778 0.0460
Pt 2.6648 0.3156 2.4669
Pt 5.7308 8.0778 2.4669
Tl 3.2870 2.9799 0.0606
Tl 0.2211 5.4135 0.0606
Tl 5.9108 2.9799 2.4815
Tl 2.8449 5.4135 2.4815
```



| no. | final energy (eV for the cell shown) |
| --- | --- |
| 1 | -118.441 |
| 2 | -14.656 |
| 3 | -18.509 |
| 4 | -48.472 |
| 5 | -411.748 |
| 6 | -213.219 |
| 7 | -81.487 |
| 8 | -83.411 |